## Li5Ag (PBE)

Data for an optimized crystal structure of Li5Ag.

Cell: 3.349 4.635 7.279 Å, 108.56 90.00 90.00°
Positions (direct):
Li 0.500 0.500 0.000
Li 0.500 0.156 0.312
Li 0.000 0.332 0.664
Li 0.500 0.844 0.688
Li 0.000 0.668 0.336
Ag 0.000 0.000 0.000

Calculated values
raw total energy	-12.9	eV for the cell shown
energy relative to the elements	-0.08	eV per atom